The following is a DFT calculation (PBE-GGA) of an optimized crystal structure of Mn2TlP.

Cell lengths 4.491, 4.491, 3.410 Å; angles 84.52, 84.52, 98.38 degrees
Last column: magnetic moment on the atom in μB.
Sites, in units of the cell vectors:
Mn1 0.500 0.500 0.000  3.35
Mn2 0.000 0.000 0.000  3.35
Tl1 0.000 0.500 0.500  -0.10
P1 0.500 0.000 0.500  -0.10

Values from the calculation:
The crystal system is monoclinic. The uncorrected energy is -6.074 eV per atom.

---

The following is a DFT calculation (PBE-GGA) of an optimized crystal structure of Mn2TlP.

Cell lengths 2.931, 2.931, 7.052 Å; angles 90.00, 90.00, 90.00 degrees
Last column: magnetic moment on the atom in μB.
Sites, in units of the cell vectors:
Tl1 0.500 0.500 0.750  -0.06
Mn1 0.000 0.000 0.070  2.30
Mn2 0.000 0.000 0.430  2.30
P1 0.500 0.500 0.250  -0.17

Values from the calculation:
The crystal system is tetragonal. The uncorrected energy is -6.377 eV per atom.

---

The following is a DFT calculation (PBE-GGA) of an optimized crystal structure of MnTlP2.

Cell lengths 5.971, 5.971, 5.971 Å; angles 143.02, 143.02, 53.29 degrees
Last column: magnetic moment on the atom in μB.
Sites, in units of the cell vectors:
P1 0.250 0.750 0.500  -0.08
P2 0.000 0.000 0.000  -0.08
Mn1 0.750 0.250 0.500  3.92
Tl1 0.500 0.500 0.000  0.00

Values from the calculation:
For the polymorph energy (0 for the lowest one), the calculation gives 594 meV/atom. The crystal system is tetragonal.

---

The following is a DFT calculation (PBE-GGA) of an optimized crystal structure of MnTlP2.

Cell lengths 3.484, 4.597, 4.597 Å; angles 90.00, 90.00, 90.00 degrees
Last column: magnetic moment on the atom in μB.
Sites, in units of the cell vectors:
P1 0.000 0.500 0.500  -0.06
P2 0.000 0.000 0.000  -0.06
Mn1 0.500 0.000 0.500  3.90
Tl1 0.500 0.500 0.000  0.02

Values from the calculation:
For the polymorph energy (0 for the lowest one), the calculation gives 633 meV/atom. The crystal system is tetragonal.

---

The following is a DFT calculation (PBE-GGA) of an optimized crystal structure of MnTlP3.

Cell lengths 4.517, 4.517, 4.517 Å; angles 90.00, 90.00, 90.00 degrees
Sites, in units of the cell vectors:
P1 0.000 0.500 0.000
P2 0.000 0.000 0.500
P3 0.500 0.000 0.000
Tl1 0.500 0.500 0.500
Mn1 0.000 0.000 0.000

Values from the calculation:
For the polymorph energy (0 for the lowest one), the calculation gives 0 meV/atom. The crystal system is cubic.

---

The following is a DFT calculation (PBE-GGA) of an optimized crystal structure of Mn2TlP.

Cell lengths 4.679, 4.679, 4.679 Å; angles 60.00, 60.00, 60.00 degrees
Last column: magnetic moment on the atom in μB.
Sites, in units of the cell vectors:
Tl1 0.750 0.750 0.750  -0.06
P1 0.500 0.500 0.500  0.01
Mn1 0.250 0.250 0.250  3.65
Mn2 0.000 0.000 0.000  3.65

Values from the calculation:
The crystal system is cubic. The uncorrected energy is -5.787 eV per atom.

---

The following is a DFT calculation (PBE-GGA) of an optimized crystal structure of MnTlP2.

Cell lengths 3.999, 3.999, 6.772 Å; angles 83.18, 83.18, 47.45 degrees
Last column: magnetic moment on the atom in μB.
Sites, in units of the cell vectors:
P1 0.531 0.531 0.379  -0.03
P2 0.969 0.969 0.121  -0.03
Tl1 0.750 0.750 0.750  -0.01
Mn1 0.250 0.250 0.250  2.27

Values from the calculation:
For the polymorph energy (0 for the lowest one), the calculation gives 0 meV/atom. The crystal system is monoclinic.

---

The following is a DFT calculation (PBE-GGA) of an optimized crystal structure of Mn3TlP.

Cell lengths 5.064, 5.064, 5.064 Å; angles 90.00, 90.00, 90.00 degrees
Last column: magnetic moment on the atom in μB.
Sites, in units of the cell vectors:
Tl1 0.000 0.000 0.000  -0.13
Mn1 0.000 0.000 0.500  4.35
Mn2 0.500 0.000 0.000  3.94
Mn3 0.000 0.500 0.000  4.13
P1 0.500 0.500 0.500  -0.11

Values from the calculation:
For the polymorph energy (0 for the lowest one), the calculation gives 1253 meV/atom. The crystal system is cubic.

---

The following is a DFT calculation (PBE-GGA) of an optimized crystal structure of MnTlP2.

Cell lengths 5.322, 5.322, 5.322 Å; angles 134.92, 104.92, 92.09 degrees
Last column: magnetic moment on the atom in μB.
Sites, in units of the cell vectors:
Mn1 0.750 0.250 0.500  3.42
P1 0.904 0.904 0.000  -0.12
P2 0.596 0.596 0.000  -0.12
Tl1 0.250 0.750 0.500  0.01

Values from the calculation:
For the polymorph energy (0 for the lowest one), the calculation gives 292 meV/atom. The crystal system is orthorhombic.

---

The following is a DFT calculation (PBE-GGA) of an optimized crystal structure of Mn2TlP.

Cell lengths 3.405, 3.405, 6.795 Å; angles 75.74, 75.74, 59.99 degrees
Last column: magnetic moment on the atom in μB.
Sites, in units of the cell vectors:
Mn1 0.471 0.471 0.585  2.16
Mn2 0.029 0.029 0.915  2.16
P1 0.750 0.750 0.750  -0.14
Tl1 0.250 0.250 0.250  -0.04

Values from the calculation:
The crystal system is monoclinic. The uncorrected energy is -6.473 eV per atom.

---

The following is a DFT calculation (PBE-GGA) of an optimized crystal structure of MnTl4P.

Cell lengths 6.248, 6.248, 6.248 Å; angles 60.00, 60.00, 60.00 degrees
Last column: magnetic moment on the atom in μB.
Sites, in units of the cell vectors:
Tl1 0.375 0.375 0.876  -0.02
Tl2 0.876 0.375 0.375  -0.02
Tl3 0.375 0.876 0.375  -0.02
Tl4 0.375 0.375 0.375  -0.02
P1 0.000 0.000 0.000  0.01
Mn1 0.750 0.750 0.750  4.37

Values from the calculation:
The crystal system is cubic. The uncorrected energy is -3.257 eV per atom.

---

The following is a DFT calculation (PBE-GGA) of an optimized crystal structure of Mn2TlP.

Cell lengths 7.094, 7.094, 7.094 Å; angles 153.35, 156.60, 35.75 degrees
Last column: magnetic moment on the atom in μB.
Sites, in units of the cell vectors:
Mn1 0.989 0.989 0.000  -0.77
Mn2 0.662 0.162 0.500  2.90
P1 0.541 0.541 0.000  -0.03
Tl1 0.307 0.807 0.500  -0.03

Values from the calculation:
The crystal system is orthorhombic. The uncorrected energy is -6.467 eV per atom.

---

The following is a DFT calculation (PBE-GGA) of an optimized crystal structure of Mn2TlP.

Cell lengths 4.756, 4.756, 8.366 Å; angles 73.49, 73.49, 90.00 degrees
Last column: magnetic moment on the atom in μB.
Sites, in units of the cell vectors:
Mn1 0.375 0.518 0.750  3.22
Mn2 0.875 0.732 0.750  3.22
Mn3 0.482 0.125 0.250  3.29
Mn4 0.268 0.625 0.250  3.31
Tl1 0.000 0.000 0.000  -0.01
Tl2 0.750 0.250 0.500  0.00
P1 0.250 0.750 0.500  -0.07
P2 0.500 0.500 0.000  -0.08

Values from the calculation:
The crystal system is tetragonal. The uncorrected energy is -6.113 eV per atom.

---

The following is a DFT calculation (PBE-GGA) of an optimized crystal structure of MnTlP2.

Cell lengths 4.518, 4.518, 4.518 Å; angles 60.00, 60.00, 60.00 degrees
Sites, in units of the cell vectors:
P1 0.250 0.250 0.250
P2 0.750 0.750 0.750
Tl1 0.500 0.500 0.500
Mn1 0.000 0.000 0.000

Values from the calculation:
For the polymorph energy (0 for the lowest one), the calculation gives 900 meV/atom. The crystal system is cubic.

---

The following is a DFT calculation (PBE-GGA) of an optimized crystal structure of MnTlP2.

Cell lengths 3.821, 4.331, 5.384 Å; angles 75.32, 90.00, 90.00 degrees
Last column: magnetic moment on the atom in μB.
Sites, in units of the cell vectors:
P1 0.000 0.001 0.867  -0.04
P2 0.000 0.499 0.633  -0.04
Tl1 0.500 0.250 0.250  0.00
Mn1 0.500 0.750 0.750  3.14

Values from the calculation:
For the polymorph energy (0 for the lowest one), the calculation gives 110 meV/atom. The crystal system is monoclinic.

---

The following is a DFT calculation (PBE-GGA) of an optimized crystal structure of MnTlP2.

Cell lengths 3.353, 3.723, 6.344 Å; angles 74.97, 90.00, 90.00 degrees
Last column: magnetic moment on the atom in μB.
Sites, in units of the cell vectors:
P1 0.500 0.278 0.061  -0.03
P2 0.000 0.866 0.085  -0.04
Tl1 0.000 0.484 0.545  -0.01
Mn1 0.500 0.873 0.809  2.93

Values from the calculation:
For the polymorph energy (0 for the lowest one), the calculation gives 206 meV/atom. The crystal system is monoclinic.

---

The following is a DFT calculation (PBE-GGA) of an optimized crystal structure of Mn4TlP.

Cell lengths 4.937, 4.937, 4.937 Å; angles 60.00, 60.00, 60.00 degrees
Last column: magnetic moment on the atom in μB.
Sites, in units of the cell vectors:
Mn1 0.376 0.873 0.376  1.93
Mn2 0.376 0.376 0.376  1.93
Mn3 0.873 0.376 0.376  1.93
Mn4 0.376 0.376 0.873  1.93
Tl1 0.000 0.000 0.000  -0.08
P1 0.750 0.750 0.750  -0.07

Values from the calculation:
The crystal system is cubic. The uncorrected energy is -6.834 eV per atom.

---

The following is a DFT calculation (PBE-GGA) of an optimized crystal structure of Mn2TlP2.

Cell lengths 4.062, 4.062, 5.318 Å; angles 67.54, 67.54, 90.00 degrees
Last column: magnetic moment on the atom in μB.
Sites, in units of the cell vectors:
P1 0.634 0.634 0.733  -0.05
P2 0.366 0.366 0.267  -0.05
Mn1 0.750 0.250 0.500  0.90
Mn2 0.250 0.750 0.500  0.90
Tl1 0.000 0.000 0.000  0.03

Values from the calculation:
For the polymorph energy (0 for the lowest one), the calculation gives 0 meV/atom. The crystal system is tetragonal.

---

The following is a DFT calculation (PBE-GGA) of an optimized crystal structure of MnTlP2.

Cell lengths 9.116, 9.116, 9.116 Å; angles 19.19, 19.19, 19.19 degrees
Last column: magnetic moment on the atom in μB.
Sites, in units of the cell vectors:
P1 0.474 0.474 0.474  -0.02
P2 0.026 0.026 0.026  -0.02
Tl1 0.250 0.250 0.250  -0.01
Mn1 0.750 0.750 0.750  0.31

Values from the calculation:
For the polymorph energy (0 for the lowest one), the calculation gives 92 meV/atom. The crystal system is trigonal.

---

The following is a DFT calculation (PBE-GGA) of an optimized crystal structure of MnTlP2.

Cell lengths 2.998, 2.998, 7.906 Å; angles 90.00, 90.00, 90.00 degrees
Sites, in units of the cell vectors:
P1 0.500 0.500 0.143
P2 0.000 0.000 0.960
Mn1 0.500 0.500 0.853
Tl1 0.000 0.000 0.544

Values from the calculation:
For the polymorph energy (0 for the lowest one), the calculation gives 251 meV/atom. The crystal system is tetragonal.

---

The following is a DFT calculation (PBE-GGA) of an optimized crystal structure of MnTlP2.

Cell lengths 4.711, 4.711, 4.711 Å; angles 60.00, 60.00, 60.00 degrees
Last column: magnetic moment on the atom in μB.
Sites, in units of the cell vectors:
Mn1 0.500 0.500 0.500  3.81
P1 0.250 0.250 0.250  -0.10
P2 0.000 0.000 0.000  -0.03
Tl1 0.750 0.750 0.750  0.00

Values from the calculation:
For the polymorph energy (0 for the lowest one), the calculation gives 775 meV/atom. The crystal system is cubic.

---

The following is a DFT calculation (PBE-GGA) of an optimized crystal structure of Mn2TlP.

Cell lengths 4.273, 3.094, 5.394 Å; angles 73.24, 90.00, 90.00 degrees
Last column: magnetic moment on the atom in μB.
Sites, in units of the cell vectors:
Mn1 0.500 0.419 0.287  2.33
Mn2 0.000 0.034 0.057  3.00
P1 0.000 0.365 0.393  -0.14
Tl1 0.500 0.681 0.762  -0.07

Values from the calculation:
The crystal system is monoclinic. The uncorrected energy is -6.286 eV per atom.

---

The following is a DFT calculation (PBE-GGA) of an optimized crystal structure of MnTlP2.

Cell lengths 4.678, 4.678, 4.103 Å; angles 75.12, 75.12, 106.24 degrees
Last column: magnetic moment on the atom in μB.
Sites, in units of the cell vectors:
P1 0.500 0.500 0.000  0.00
P2 0.000 0.000 0.000  0.00
Mn1 0.000 0.500 0.500  3.85
Tl1 0.500 0.000 0.500  -0.01

Values from the calculation:
For the polymorph energy (0 for the lowest one), the calculation gives 526 meV/atom. The crystal system is monoclinic.

---

The following is a DFT calculation (PBE-GGA) of an optimized crystal structure of MnTl3P.

Cell lengths 5.220, 5.220, 5.220 Å; angles 90.00, 90.00, 90.00 degrees
Last column: magnetic moment on the atom in μB.
Sites, in units of the cell vectors:
Tl1 0.000 0.500 0.000  -0.01
Tl2 0.500 0.000 0.000  -0.06
Tl3 0.000 0.000 0.500  0.01
Mn1 0.000 0.000 0.000  2.95
P1 0.500 0.500 0.500  0.57

Values from the calculation:
For the polymorph energy (0 for the lowest one), the calculation gives 0 meV/atom. The crystal system is cubic.

---

The following is a DFT calculation (PBE-GGA) of an optimized crystal structure of Mn2TlP.

Cell lengths 4.284, 4.284, 4.284 Å; angles 60.00, 60.00, 60.00 degrees
Sites, in units of the cell vectors:
Tl1 0.500 0.500 0.500
P1 0.000 0.000 0.000
Mn1 0.250 0.250 0.250
Mn2 0.750 0.750 0.750

Values from the calculation:
The crystal system is cubic. The uncorrected energy is -5.821 eV per atom.

---

The following is a DFT calculation (PBE-GGA) of an optimized crystal structure of Mn2TlP.

Cell lengths 3.174, 3.172, 6.851 Å; angles 90.00, 90.00, 90.00 degrees
Last column: magnetic moment on the atom in μB.
Sites, in units of the cell vectors:
P1 0.000 0.000 0.398  -0.12
Mn1 0.000 0.000 0.050  3.38
Mn2 0.500 0.500 0.284  2.67
Tl1 0.500 0.500 0.767  -0.04

Values from the calculation:
The crystal system is tetragonal. The uncorrected energy is -6.390 eV per atom.

---

The following is a DFT calculation (PBE-GGA) of an optimized crystal structure of MnTl3P.

Cell lengths 5.337, 5.337, 5.337 Å; angles 90.00, 90.00, 90.00 degrees
Last column: magnetic moment on the atom in μB.
Sites, in units of the cell vectors:
Mn1 0.500 0.500 0.500  4.35
P1 0.000 0.000 0.000  0.02
Tl1 0.000 0.500 0.000  -0.02
Tl2 0.000 0.000 0.500  -0.01
Tl3 0.500 0.000 0.000  -0.01

Values from the calculation:
For the polymorph energy (0 for the lowest one), the calculation gives 94 meV/atom. The crystal system is cubic.

---

The following is a DFT calculation (PBE-GGA) of an optimized crystal structure of MnTlP2.

Cell lengths 4.625, 4.625, 3.662 Å; angles 90.00, 90.00, 107.08 degrees
Last column: magnetic moment on the atom in μB.
Sites, in units of the cell vectors:
P1 0.000 0.000 0.000  -0.09
P2 0.500 0.500 0.000  -0.09
Mn1 0.000 0.500 0.500  3.81
Tl1 0.500 0.000 0.500  -0.04

Values from the calculation:
For the polymorph energy (0 for the lowest one), the calculation gives 585 meV/atom. The crystal system is orthorhombic.

---

The following is a DFT calculation (PBE-GGA) of an optimized crystal structure of MnTlP2.

Cell lengths 3.822, 5.668, 3.637 Å; angles 90.00, 90.00, 90.00 degrees
Last column: magnetic moment on the atom in μB.
Sites, in units of the cell vectors:
P1 0.000 0.000 0.000  -0.04
P2 0.500 0.500 0.000  -0.10
Mn1 0.000 0.500 0.500  3.90
Tl1 0.500 0.000 0.500  -0.01

Values from the calculation:
For the polymorph energy (0 for the lowest one), the calculation gives 603 meV/atom. The crystal system is orthorhombic.

---

The following is a DFT calculation (PBE-GGA) of an optimized crystal structure of Mn3TlP.

Cell lengths 4.544, 4.544, 4.544 Å; angles 90.00, 90.00, 90.00 degrees
Last column: magnetic moment on the atom in μB.
Sites, in units of the cell vectors:
Mn1 0.000 0.500 0.000  3.52
Mn2 0.500 0.000 0.000  3.67
Mn3 0.000 0.000 0.500  3.55
P1 0.000 0.000 0.000  -0.07
Tl1 0.500 0.500 0.500  -0.01

Values from the calculation:
For the polymorph energy (0 for the lowest one), the calculation gives 0 meV/atom. The crystal system is cubic.

---

Calculated values (μB per formula unit) of total magnetic moment for the records, taken in order: 6.68, 4.42, 3.85, 3.96, 0.00, 7.65, 2.26, 13.00, 3.31, 4.16, 4.58, 2.14, 6.92, 0.00, 3.26, 2.88, 7.73, 1.75, 0.23, 0.00, 3.81, 5.16, 4.12, 4.26, 0.00, 5.99, 4.61, 3.69, 3.88, 11.03.